Entry 1:
Zn2POs GGA-PBE relaxed; Fermi-level density of states = 0.7390 states/eV per atom; space-group type = No. 12; formation enthalpy at 0 K = 0.2625 eV per atom; calculated total energy = -4.534 eV per atom; total magnetic moment = 0.0000 μB per atom
1.0
4.8740 -1.4719 0.0000
4.8740 1.4719 0.0000
-0.3549 0.0000 3.9903
Zn P Os
2 1 1
direct
0.2303 0.2303 0.2400
0.7697 0.7697 0.7600
0.0000 0.0000 0.5000
0.5000 0.5000 0.0000

---

Entry 2:
ZnPOs2 GGA-PBE relaxed; Fermi-level density of states = 0.7026 states/eV per atom; space-group type = No. 47; formation enthalpy at 0 K = 0.5112 eV per atom; energy relative to the lowest polymorph listed for this composition = 0.4316 eV/atom; calculated total energy = -6.775 eV per atom; total magnetic moment = 0.0000 μB per atom
1.0
2.9045 0.0000 0.0000
0.0000 4.0655 0.0000
0.0000 0.0000 4.8247
Zn P Os
1 1 2
direct
0.0000 0.0000 0.0000
0.5000 0.0000 0.5000
0.0000 0.5000 0.5000
0.5000 0.5000 0.0000

---

Entry 3:
Zn2POs GGA-PBE relaxed; Fermi-level density of states = 0.7729 states/eV per atom; space-group type = No. 123; formation enthalpy at 0 K = 0.4276 eV per atom; calculated total energy = -4.369 eV per atom; total magnetic moment = 0.0000 μB per atom
1.0
2.7157 0.0000 0.0000
0.0000 2.7157 0.0000
0.0000 0.0000 8.1371
Zn P Os
2 1 1
direct
0.0000 0.0000 0.2345
0.0000 0.0000 0.7655
0.5000 0.5000 0.5000
0.5000 0.5000 0.0000

---

Entry 4:
ZnPOs2 GGA-PBE relaxed; Fermi-level density of states = 0.5132 states/eV per atom; space-group type = No. 216; formation enthalpy at 0 K = 0.5653 eV per atom; energy relative to the lowest polymorph listed for this composition = 0.4857 eV/atom; calculated total energy = -6.721 eV per atom; total magnetic moment = 0.0000 μB per atom
1.0
0.0000 3.0560 3.0560
3.0560 0.0000 3.0560
3.0560 3.0560 0.0000
Zn P Os
1 1 2
direct
0.0000 0.0000 0.0000
0.7500 0.7500 0.7500
0.2500 0.2500 0.2500
0.5000 0.5000 0.5000

---

Entry 5:
Zn2POs GGA-PBE relaxed; Fermi-level density of states = 0.5057 states/eV per atom; space-group type = No. 139; formation enthalpy at 0 K = 0.2252 eV per atom; calculated total energy = -4.572 eV per atom; total magnetic moment = 0.0000 μB per atom
1.0
-1.8069 1.8069 4.2048
1.8069 -1.8069 4.2048
1.8069 1.8069 -4.2048
Zn P Os
2 1 1
direct
0.2500 0.7500 0.5000
0.7500 0.2500 0.5000
0.0000 0.0000 0.0000
0.5000 0.5000 0.0000

---

Entry 6:
ZnP2Os2 GGA-PBE relaxed; Fermi-level density of states = 0.2120 states/eV per atom; space-group type = No. 139; formation enthalpy at 0 K = -0.0128 eV per atom; calculated total energy = -6.923 eV per atom; total magnetic moment = 0.0000 μB per atom
1.0
-1.8323 1.8323 5.6153
1.8323 -1.8323 5.6153
1.8323 1.8323 -5.6153
Zn P Os
1 2 2
direct
0.0000 0.0000 0.0000
0.2500 0.7500 0.5000
0.7500 0.2500 0.5000
0.3771 0.3771 0.0000
0.6229 0.6229 0.0000

---

Entry 7:
ZnPOs2 GGA-PBE relaxed; Fermi-level density of states = 0.5400 states/eV per atom; space-group type = No. 71; formation enthalpy at 0 K = 0.2141 eV per atom; energy relative to the lowest polymorph listed for this composition = 0.1346 eV/atom; calculated total energy = -7.072 eV per atom; total magnetic moment = 0.0000 μB per atom
1.0
-1.4173 2.3463 4.2539
1.4173 -2.3463 4.2539
1.4173 2.3463 -4.2539
Zn P Os
1 1 2
direct
0.0000 0.0000 0.0000
0.5000 0.5000 0.0000
0.2834 0.7834 0.5000
0.7166 0.2166 0.5000

---

Entry 8:
Zn2POs GGA-PBE relaxed; Fermi-level density of states = 0.6155 states/eV per atom; space-group type = No. 99; formation enthalpy at 0 K = 0.0511 eV per atom; calculated total energy = -4.746 eV per atom; total magnetic moment = 0.0000 μB per atom
1.0
2.9257 0.0000 0.0000
0.0000 2.9257 0.0000
0.0000 0.0000 7.1050
Zn P Os
2 1 1
direct
0.0000 0.0000 0.0000
0.5000 0.5000 0.2653
0.5000 0.5000 0.7001
0.0000 0.0000 0.5296

---

Entry 9:
ZnPOs2 GGA-PBE relaxed; Fermi-level density of states = 0.7924 states/eV per atom; space-group type = No. 38; formation enthalpy at 0 K = 0.1950 eV per atom; energy relative to the lowest polymorph listed for this composition = 0.1154 eV/atom; calculated total energy = -7.091 eV per atom; total magnetic moment = 0.0000 μB per atom
1.0
4.1554 0.0000 0.0000
0.0000 1.4386 4.6807
0.0000 -1.4386 4.6807
Zn P Os
1 1 2
direct
0.0000 0.0000 0.0000
0.5000 0.3837 0.3837
0.0000 0.2650 0.2650
0.5000 0.6371 0.6371

---

Entry 10:
ZnPOs2 GGA-PBE relaxed; Fermi-level density of states = 0.5156 states/eV per atom; space-group type = No. 65; formation enthalpy at 0 K = 0.3293 eV per atom; energy relative to the lowest polymorph listed for this composition = 0.2498 eV/atom; calculated total energy = -6.956 eV per atom; total magnetic moment = 0.0000 μB per atom
1.0
1.4327 -2.4862 0.0000
1.4327 2.4862 0.0000
0.0000 0.0000 8.1280
Zn P Os
1 1 2
direct
0.0000 0.0000 0.0000
0.0000 0.0000 0.5000
0.5000 0.5000 0.2789
0.5000 0.5000 0.7211

---

Entry 11:
Zn2POs GGA-PBE relaxed; Fermi-level density of states = 0.5477 states/eV per atom; space-group type = No. 44; formation enthalpy at 0 K = 0.1674 eV per atom; calculated total energy = -4.629 eV per atom; total magnetic moment = 0.0000 μB per atom
1.0
-1.5045 2.2196 4.5511
1.5045 -2.2196 4.5511
1.5045 2.2196 -4.5511
Zn P Os
2 1 1
direct
0.0000 0.0000 0.0000
0.7180 0.2180 0.5000
0.2736 0.7736 0.5000
0.4641 0.4641 0.0000

---

Entry 12:
Zn2POs GGA-PBE relaxed; Fermi-level density of states = 0.5570 states/eV per atom; space-group type = No. 35; formation enthalpy at 0 K = 0.2717 eV per atom; calculated total energy = -4.525 eV per atom; total magnetic moment = 0.0000 μB per atom
1.0
1.4570 -2.4462 0.0000
1.4570 2.4462 0.0000
0.0000 0.0000 8.6504
Zn P Os
2 1 1
direct
0.0000 0.0000 0.0000
0.5000 0.5000 0.2566
0.5000 0.5000 0.7185
0.0000 0.0000 0.5127